First-principles (PBE) data for a relaxed SrInW2 crystal, as listed in the Alexandria database.

Size of the total moment (μB/f.u.): 0.000
Final energy (eV per atom): -6.422

a b c (Å): 5.821 5.821 2.817
angles (deg): 90.00 90.00 118.76
Element x y z (fractional)
In 0.500 0.000 0.500
Sr 0.000 0.500 0.500
W 0.000 0.000 0.000
W 0.500 0.500 0.000

=====

First-principles (PBE) data for a relaxed SrInW2 crystal, as listed in the Alexandria database.

Size of the total moment (μB/f.u.): 0.000
Final energy (eV per atom): -6.526

a b c (Å): 6.284 6.284 6.284
angles (deg): 153.79 129.14 58.11
Element x y z (fractional)
In 0.750 0.250 0.500
Sr 0.250 0.750 0.500
W 0.979 0.979 0.000
W 0.521 0.521 0.000

=====

First-principles (PBE) data for a relaxed Sr2InW crystal, as listed in the Alexandria database.

Size of the total moment (μB/f.u.): 1.535
Final energy (eV per atom): -3.791

a b c (Å): 5.619 5.619 6.721
angles (deg): 84.36 84.36 32.84
Last column: magnetic moment on the atom in μB.
Element x y z (fractional)
In 0.250 0.250 0.250  -0.01
Sr 0.002 0.002 0.990  0.02
Sr 0.498 0.498 0.510  0.02
W 0.750 0.750 0.750  1.07

=====

First-principles (PBE) data for a relaxed Sr2InW crystal, as listed in the Alexandria database.

Size of the total moment (μB/f.u.): 0.602
Final energy (eV per atom): -3.898

a b c (Å): 11.227 11.227 11.227
angles (deg): 18.10 18.10 18.10
Last column: magnetic moment on the atom in μB.
Element x y z (fractional)
In 0.763 0.763 0.763  0.01
Sr 0.013 0.013 0.013  0.00
Sr 0.233 0.233 0.233  0.00
W 0.492 0.492 0.492  0.48

=====

First-principles (PBE) data for a relaxed SrInW2 crystal, as listed in the Alexandria database.

Size of the total moment (μB/f.u.): 0.000
Final energy (eV per atom): -6.449

a b c (Å): 3.571 4.683 5.017
angles (deg): 90.00 90.00 90.00
Element x y z (fractional)
In 0.500 0.000 0.500
Sr 0.000 0.500 0.500
W 0.000 0.000 0.000
W 0.500 0.500 0.000

=====

First-principles (PBE) data for a relaxed Sr2InW crystal, as listed in the Alexandria database.

Size of the total moment (μB/f.u.): 1.626
Final energy (eV per atom): -4.069

a b c (Å): 6.441 6.441 6.441
angles (deg): 142.78 130.32 63.68
Last column: magnetic moment on the atom in μB.
Element x y z (fractional)
In 0.290 0.790 0.500  -0.06
Sr 0.020 0.020 0.000  0.01
Sr 0.731 0.231 0.500  0.00
W 0.459 0.459 0.000  1.26

=====

Number 1: DOS(E_F) 2.71 states/eV/f.u.. Number 2: DOS(E_F) 3.75 states/eV/f.u.. Number 3: DOS(E_F) 4.37 states/eV/f.u.. Number 4: DOS(E_F) 4.20 states/eV/f.u.. Number 5: DOS(E_F) 3.13 states/eV/f.u.. Number 6: DOS(E_F) 3.70 states/eV/f.u..